First-principles (GGA-PBEsol) data for a relaxed structure of SiSe2Cl, as listed in Alexandria.

Unit cell a=3.7482 b=3.7482 c=25.5282 alpha=90.00 beta=90.00 gamma=120.00
Space group R-3m (No. 166, hexagonal axes)
Symmetry-distinct sites (fractional):
1 Si 0.0000 0.0000 0.0000 [3 per cell]
2 Se 0.0000 0.0000 0.0831 [6 per cell]
3 Cl 0.0000 0.0000 0.5000 [3 per cell]

Properties
- ΔE_f (raw): 0.403 eV/atom



First-principles (GGA-PBEsol) data for a relaxed structure of Sn3SeCl, as listed in Alexandria.

Unit cell a=5.534 b=5.534 c=5.534 alpha=90.00 beta=90.00 gamma=90.00
Space group Pm-3m (No. 221)
Symmetry-distinct sites (fractional):
1 Sn 0.000 0.000 0.500 [3 per cell]
2 Se 0.000 0.000 0.000 [1 per cell]
3 Cl 0.500 0.500 0.500 [1 per cell]

Properties
- ΔE_f (raw): 0.315 eV/atom



First-principles (GGA-PBEsol) data for a relaxed structure of SnSe2Cl, as listed in Alexandria.

Unit cell a=7.267 b=7.267 c=8.111 alpha=90.00 beta=90.00 gamma=90.00
Space group I-42d (No. 122)
Symmetry-distinct sites (fractional):
1 Sn 0.000 0.000 0.000 [4 per cell]
2 Se 0.215 0.250 0.125 [8 per cell]
3 Cl 0.000 0.000 0.500 [4 per cell]

Properties
- ΔE_f (raw): -0.028 eV/atom



First-principles (GGA-PBEsol) data for a relaxed structure of TaSe2Cl, as listed in Alexandria.

Unit cell a=12.236 b=3.081 c=6.601 alpha=90.00 beta=121.65 gamma=90.00
Space group Cm (No. 8)
Symmetry-distinct sites (fractional):
1 Ta 0.000 0.000 0.000 [2 per cell]
2 Se 0.162 0.500 0.323 [2 per cell]
3 Se 0.496 0.000 0.692 [2 per cell]
4 Cl 0.340 0.000 0.985 [2 per cell]

Properties
- ΔE_f (raw): -0.739 eV/atom



First-principles (GGA-PBEsol) data for a relaxed structure of TaSeCl, as listed in Alexandria.

Unit cell a=3.2373 b=3.2373 c=6.9212 alpha=90.00 beta=90.00 gamma=120.00
Space group P3m1 (No. 156)
Symmetry-distinct sites (fractional):
1 Ta 0.0000 0.0000 0.0000 [1 per cell]
2 Se 0.6667 0.3333 0.2539 [1 per cell]
3 Cl 0.3333 0.6667 0.7491 [1 per cell]

Properties
- ΔE_f (raw): -0.836 eV/atom



First-principles (GGA-PBEsol) data for a relaxed structure of TaSeCl2, as listed in Alexandria.

Unit cell a=3.067 b=3.067 c=8.375 alpha=90.00 beta=90.00 gamma=90.00
Space group P4mm (No. 99)
Symmetry-distinct sites (fractional):
1 Ta 0.000 0.000 0.000 [1 per cell]
2 Se 0.500 0.500 0.819 [1 per cell]
3 Cl 0.000 0.000 0.506 [1 per cell]
4 Cl 0.500 0.500 0.189 [1 per cell]

Properties
- ΔE_f (raw): -0.464 eV/atom



First-principles (GGA-PBEsol) data for a relaxed structure of TaSe2Cl, as listed in Alexandria.

Unit cell a=6.492 b=6.492 c=6.492 alpha=90.00 beta=90.00 gamma=90.00
Space group F-43m (No. 216)
Symmetry-distinct sites (fractional):
1 Ta 0.000 0.000 0.000 [4 per cell]
2 Se 0.000 0.000 0.500 [4 per cell]
3 Se 0.250 0.250 0.250 [4 per cell]
4 Cl 0.250 0.250 0.750 [4 per cell]

Properties
- ΔE_f (raw): 0.109 eV/atom



First-principles (GGA-PBEsol) data for a relaxed structure of TaSeCl2, as listed in Alexandria.

Unit cell a=3.3272 b=3.3272 c=24.1557 alpha=90.00 beta=90.00 gamma=120.00
Space group R3m (No. 160, hexagonal axes)
Symmetry-distinct sites (fractional):
1 Ta 0.0000 0.0000 0.0000 [3 per cell]
2 Se 0.0000 0.0000 0.2627 [3 per cell]
3 Cl 0.0000 0.0000 0.5072 [3 per cell]
4 Cl 0.0000 0.0000 0.7347 [3 per cell]

Properties
- ΔE_f (raw): -0.588 eV/atom



First-principles (GGA-PBEsol) data for a relaxed structure of TaSeCl2, as listed in Alexandria.

Unit cell a=4.173 b=4.173 c=7.713 alpha=90.00 beta=90.00 gamma=90.00
Space group I4/mmm (No. 139)
Symmetry-distinct sites (fractional):
1 Ta 0.000 0.000 0.000 [2 per cell]
2 Se 0.000 0.000 0.500 [2 per cell]
3 Cl 0.000 0.500 0.250 [4 per cell]

Properties
- ΔE_f (raw): 0.237 eV/atom



First-principles (GGA-PBEsol) data for a relaxed structure of TaSeCl4, as listed in Alexandria.

Unit cell a=7.602 b=7.602 c=7.602 alpha=90.00 beta=90.00 gamma=90.00
Space group F-43m (No. 216)
Symmetry-distinct sites (fractional):
1 Ta 0.000 0.000 0.000 [4 per cell]
2 Se 0.250 0.250 0.750 [4 per cell]
3 Cl 0.126 0.126 0.374 [16 per cell]

Properties
- ΔE_f (raw): 0.887 eV/atom



First-principles (GGA-PBEsol) data for a relaxed structure of TaSe2Cl, as listed in Alexandria.

Unit cell a=3.070 b=5.015 c=12.040 alpha=90.00 beta=90.00 gamma=90.00
Space group Immm (No. 71)
Symmetry-distinct sites (fractional):
1 Ta 0.000 0.000 0.000 [2 per cell]
2 Se 0.000 0.500 0.333 [4 per cell]
3 Cl 0.000 0.000 0.500 [2 per cell]

Properties
- ΔE_f (raw): -0.305 eV/atom



First-principles (GGA-PBEsol) data for a relaxed structure of Tc2SeCl, as listed in Alexandria.

Unit cell a=4.304 b=4.304 c=3.041 alpha=90.00 beta=90.00 gamma=90.00
Space group P4/mmm (No. 123)
Symmetry-distinct sites (fractional):
1 Tc 0.000 0.500 0.000 [2 per cell]
2 Se 0.000 0.000 0.500 [1 per cell]
3 Cl 0.500 0.500 0.500 [1 per cell]

Properties
- ΔE_f (raw): 0.487 eV/atom



Q: Number 4 is which compound?
A: TaSe2Cl



Q: What is the ΔE_f (raw) in the tenth record?
A: 0.887 eV/atom